## Tl2V2BiO6 (GGA+U)

Data for an optimized crystal structure of Tl2V2BiO6.

Geometry as CIF:
```
data_Tl2V2BiO6
_chemical_formula_sum 'Tl2 V2 Bi1 O6'
_cell_length_a 6.282
_cell_length_b 6.282
_cell_length_c 7.021
_cell_angle_alpha 63.43
_cell_angle_beta 63.43
_cell_angle_gamma 60.00
_space_group_name_H-M_alt 'P 1'
_space_group_IT_number 1
loop_
_space_group_symop_operation_xyz
'x,y,z'
loop_
_atom_site_label
_atom_site_fract_x
_atom_site_fract_y
_atom_site_fract_z
_atom_site_occupancy
V1 0.581 0.581 0.257 1
O1 0.749 0.749 0.238 1
O2 0.251 0.735 0.762 1
V2 0.419 0.419 0.743 1
Tl1 0.216 0.216 0.352 1
O3 0.735 0.251 0.762 1
O4 0.749 0.265 0.238 1
Tl2 0.784 0.784 0.648 1
O5 0.265 0.749 0.238 1
O6 0.251 0.251 0.762 1
Bi1 0.000 0.000 0.000 1
```

Properties
As for the crystal system: trigonal. The value obtained for the raw total energy is -6.1093 eV/atom. The spin magnetization is 1.00 μB per cell.